Record 1
# CuSb7

A relaxed structure of CuSb7 (GGA-PBEsol, Alexandria).

Properties
density of states at the Fermi level = 4.46 states/eV/cell
ΔE_f (raw) = 348.7 meV per atom
SG = Fm-3m (225)

a b c (Å): 6.5379 6.5379 6.5379
angles (deg): 60.00 60.00 60.00
Closest atoms and distances in Å follow each position.
Fractional positions:
Cu 0.0000 0.0000 0.0000  12 Sb 3.27
Sb 0.0000 0.0000 0.5000  10 Sb 3.27, 2 Cu 3.27
Sb 0.0000 0.5000 0.0000  10 Sb 3.27, 2 Cu 3.27
Sb 0.5000 0.0000 0.0000  10 Sb 3.27, 2 Cu 3.27
Sb 0.5000 0.5000 0.0000  10 Sb 3.27, 2 Cu 3.27
Sb 0.5000 0.0000 0.5000  2 Cu 3.27, 10 Sb 3.27
Sb 0.0000 0.5000 0.5000  10 Sb 3.27, 2 Cu 3.27
Sb 0.5000 0.5000 0.5000  12 Sb 3.27

Record 2
# CuSb2

A relaxed structure of CuSb2 (GGA-PBEsol, Alexandria).

Properties
density of states at the Fermi level = 1.45 states/eV/cell
ΔE_f (raw) = 65.1 meV per atom
SG = P-3m1 (164)

a b c (Å): 3.9365 3.9365 4.9233
angles (deg): 90.00 90.00 120.00
Closest atoms and distances in Å follow each position.
Fractional positions:
Sb 0.6667 0.3333 0.2635  3 Cu 2.62
Sb 0.3333 0.6667 0.7365  3 Cu 2.62
Cu 0.0000 0.0000 0.0000  6 Sb 2.62